Compound: Lu2AgIr
Source: the Alexandria database
Functional: PBEsol
Structure: relaxed

Calculated values
Crystal system: cubic
ΔE_f, eV per atom: -0.6924
Calculated density, g/cm3: 13.9
Calculated total energy, eV/atom: -6.412

Cell: 6.771 6.771 6.771 Å, 90.00 90.00 90.00°
Space group Fm-3m (No. 225)
One atom of each set of equivalent atoms:
Lu  0.250  0.250  0.250
Ag  0.000  0.000  0.000
Ir  0.000  0.000  0.500